1.
## Tb3PrNd3Zn2 (PBE)

Data for a relaxed Tb3PrNd3Zn2 crystal.

Unit cell a=3.669 b=9.189 c=9.189 alpha=120.00 beta=90.00 gamma=90.00
Fractional positions:
Tb1 0.000 0.000 0.379
Tb2 0.000 0.379 0.000
Tb3 0.000 0.621 0.621
Zn1 0.500 0.667 0.333
Zn2 0.500 0.333 0.667
Nd1 0.500 0.687 0.000
Nd2 0.500 0.000 0.687
Nd3 0.500 0.313 0.313
Pr1 0.000 0.000 0.000

## Properties
Its uncorrected energy is -3.934 eV per atom. As for the total magnetization: 0.0 μB per formula unit. The space group is No. 189. The calculated density is 7.3 g/cm3.

***

2.
## Ca2Al4InAu3 (PBE)

Data for a relaxed Ca2Al4InAu3 crystal.

Unit cell a=4.345 b=4.345 c=11.228 alpha=90.00 beta=90.00 gamma=90.00
Fractional positions:
Ca1 0.000 0.500 0.756
Ca2 0.500 0.000 0.244
Al1 0.500 0.500 0.000
Al2 0.000 0.000 0.000
Al3 0.000 0.500 0.352
Al4 0.500 0.000 0.648
In1 0.500 0.500 0.500
Au1 0.500 0.000 0.871
Au2 0.000 0.000 0.500
Au3 0.000 0.500 0.129

## Properties
Its uncorrected energy is -3.698 eV per atom. As for the total magnetization: 0.0 μB per formula unit. The space group is No. 115. The calculated density is 7.0 g/cm3.

***

3.
## Li2PmPr2Mg5 (PBE)

Data for a relaxed Li2PmPr2Mg5 crystal.

Unit cell a=4.473 b=10.831 c=10.831 alpha=90.00 beta=90.00 gamma=90.00
Fractional positions:
Mg1 0.500 0.440 0.284
Mg2 0.500 0.500 0.000
Mg3 0.500 0.716 0.440
Mg4 0.500 0.940 0.216
Mg5 0.500 0.560 0.716
Mg6 0.500 0.060 0.784
Mg7 0.500 0.784 0.940
Mg8 0.500 0.216 0.060
Mg9 0.500 0.000 0.500
Mg10 0.500 0.284 0.560
Pr1 0.000 0.681 0.181
Pr2 0.000 0.319 0.819
Pr3 0.000 0.181 0.319
Pr4 0.000 0.819 0.681
Li1 0.000 0.113 0.613
Li2 0.000 0.387 0.113
Li3 0.000 0.613 0.887
Li4 0.000 0.887 0.387
Pm1 0.000 0.500 0.500
Pm2 0.000 0.000 0.000

## Properties
Its uncorrected energy is -2.663 eV per atom. As for the total magnetization: 0.0 μB per formula unit. The space group is No. 127. The calculated density is 3.6 g/cm3.